No. 1
# PtRhC2, optimized geometry, DFT GGA-PBE
# DOS at the Fermi energy = 6.4 states/eV/cell
# E = -115.76 eV per cell
# excess energy over the best structure of this formula in the dataset = 0 meV per atom
# ΔH_f (0 K) = 725 meV/atom
data_PtRhC2
_chemical_formula_sum 'Pt4 Rh4 C8'
_cell_length_a 4.670
_cell_length_b 4.670
_cell_length_c 9.309
_cell_angle_alpha 90.00
_cell_angle_beta 90.00
_cell_angle_gamma 90.00
_space_group_name_H-M_alt 'I -4 2 d'
_space_group_IT_number 122
_space_group_name_Hall 'I -4 2bw'
loop_
_atom_site_label
_atom_site_fract_x
_atom_site_fract_y
_atom_site_fract_z
_atom_site_occupancy
Pt1 0.000 0.000 0.000 1
Rh1 0.000 0.000 0.500 1
C1 0.242 0.250 0.625 1

No. 2
# PuZrAlZn, optimized geometry, DFT GGA-PBE
# DOS at the Fermi energy = 32.0 states/eV/cell
# E = -113.65 eV per cell
# ΔH_f (0 K) = -129 meV/atom
data_PuZrAlZn
_chemical_formula_sum 'Pu4 Zr4 Al4 Zn4'
_cell_length_a 6.930
_cell_length_b 6.930
_cell_length_c 6.930
_cell_angle_alpha 90.00
_cell_angle_beta 90.00
_cell_angle_gamma 90.00
_space_group_name_H-M_alt 'F -4 3 m'
_space_group_IT_number 216
_space_group_name_Hall 'F -4 2 3'
loop_
_atom_site_label
_atom_site_fract_x
_atom_site_fract_y
_atom_site_fract_z
_atom_site_occupancy
Pu1 0.000 0.000 0.000 1
Zr1 0.000 0.000 0.500 1
Al1 0.250 0.250 0.250 1
Zn1 0.250 0.250 0.750 1

No. 3
# TmHPb, optimized geometry, DFT GGA-PBE
# DOS at the Fermi energy = 0.7 states/eV/cell
# E = -13.11 eV per cell
# excess energy over the best structure of this formula in the dataset = 0 meV per atom
data_TmHPb
_chemical_formula_sum 'Tm1 H1 Pb1'
_cell_length_a 3.6141
_cell_length_b 3.6141
_cell_length_c 5.1312
_cell_angle_alpha 90.00
_cell_angle_beta 90.00
_cell_angle_gamma 120.00
_space_group_name_H-M_alt 'P -6 m 2'
_space_group_IT_number 187
_space_group_name_Hall 'P -6 2'
loop_
_atom_site_label
_atom_site_fract_x
_atom_site_fract_y
_atom_site_fract_z
_atom_site_occupancy
Tm1 0.0000 0.0000 0.0000 1
H1 0.3333 0.6667 0.0000 1
Pb1 0.6667 0.3333 0.5000 1

No. 4
# LaMnNbPd2, optimized geometry, DFT GGA-PBE
# DOS at the Fermi energy = 8.1 states/eV/cell
# E = -25.13 eV per cell
# ΔH_f (0 K) = 1885 meV/atom
data_LaMnNbPd2
_chemical_formula_sum 'La1 Mn1 Nb1 Pd2'
_cell_length_a 4.982
_cell_length_b 4.982
_cell_length_c 5.178
_cell_angle_alpha 90.00
_cell_angle_beta 90.00
_cell_angle_gamma 90.00
_space_group_name_H-M_alt 'P 4/m m m'
_space_group_IT_number 123
_space_group_name_Hall '-P 4 2'
loop_
_atom_site_label
_atom_site_fract_x
_atom_site_fract_y
_atom_site_fract_z
_atom_site_occupancy
La1 0.000 0.000 0.000 1
Mn1 0.500 0.500 0.500 1
Nb1 0.000 0.000 0.500 1
Pd1 0.000 0.500 0.000 1

No. 5
# Fe2TeCl, optimized geometry, DFT GGA-PBE
# DOS at the Fermi energy = 9.5 states/eV/cell
# E = -39.84 eV per cell
# excess energy over the best structure of this formula in the dataset = 655 meV per atom
# E_form (uncorrected) = 498.4 meV/atom
data_Fe2TeCl
_chemical_formula_sum 'Fe4 Te2 Cl2'
_cell_length_a 3.678
_cell_length_b 3.678
_cell_length_c 11.741
_cell_angle_alpha 90.00
_cell_angle_beta 90.00
_cell_angle_gamma 90.00
_space_group_name_H-M_alt 'I -4 m 2'
_space_group_IT_number 119
_space_group_name_Hall 'I -4 -2'
loop_
_atom_site_label
_atom_site_fract_x
_atom_site_fract_y
_atom_site_fract_z
_atom_site_occupancy
Fe1 0.000 0.000 0.000 1
Fe2 0.000 0.500 0.250 1
Te1 0.000 0.500 0.750 1
Cl1 0.000 0.000 0.500 1

No. 6
# PuTlHg4, optimized geometry, DFT GGA-PBE
# DOS at the Fermi energy = 67.3 states/eV/cell
# E = -71.05 eV per cell
# excess energy over the best structure of this formula in the dataset = 104 meV per atom
# ΔH_f (0 K) = 24 meV/atom
data_PuTlHg4
_chemical_formula_sum 'Pu4 Tl4 Hg16'
_cell_length_a 8.619
_cell_length_b 8.619
_cell_length_c 8.619
_cell_angle_alpha 90.00
_cell_angle_beta 90.00
_cell_angle_gamma 90.00
_space_group_name_H-M_alt 'F -4 3 m'
_space_group_IT_number 216
_space_group_name_Hall 'F -4 2 3'
loop_
_atom_site_label
_atom_site_fract_x
_atom_site_fract_y
_atom_site_fract_z
_atom_site_occupancy
Pu1 0.000 0.000 0.000 1
Tl1 0.250 0.250 0.250 1
Hg1 0.125 0.125 0.625 1

No. 7
# TbHoMn2, optimized geometry, DFT GGA-PBE
# DOS at the Fermi energy = 4.1 states/eV/cell
# E = -26.76 eV per cell
# ΔH_f (0 K) = 196 meV/atom
data_TbHoMn2
_chemical_formula_sum 'Tb1 Ho1 Mn2'
_cell_length_a 4.944
_cell_length_b 4.944
_cell_length_c 3.586
_cell_angle_alpha 90.00
_cell_angle_beta 90.00
_cell_angle_gamma 90.00
_space_group_name_H-M_alt 'P 4/m m m'
_space_group_IT_number 123
_space_group_name_Hall '-P 4 2'
loop_
_atom_site_label
_atom_site_fract_x
_atom_site_fract_y
_atom_site_fract_z
_atom_site_occupancy
Tb1 0.000 0.000 0.000 1
Ho1 0.500 0.500 0.000 1
Mn1 0.000 0.500 0.500 1

No. 8
# CsSnTe4, optimized geometry, DFT GGA-PBE
# DOS at the Fermi energy = 9.7 states/eV/cell
# E = -76.62 eV per cell
# E_form (uncorrected) = -288.5 meV/atom
data_CsSnTe4
_chemical_formula_sum 'Cs4 Sn4 Te16'
_cell_length_a 14.540
_cell_length_b 9.056
_cell_length_c 7.561
_cell_angle_alpha 90.00
_cell_angle_beta 90.74
_cell_angle_gamma 90.00
_space_group_name_H-M_alt 'C 1 2/m 1'
_space_group_IT_number 12
_space_group_name_Hall '-C 2y'
loop_
_atom_site_label
_atom_site_fract_x
_atom_site_fract_y
_atom_site_fract_z
_atom_site_occupancy
Cs1 0.223 0.000 0.271 1
Sn1 0.024 0.500 0.300 1
Te1 0.000 0.178 0.500 1
Te2 0.071 0.208 0.876 1
Te3 0.210 0.500 0.226 1

No. 9
# ZrBeRu3, optimized geometry, DFT GGA-PBE
# DOS at the Fermi energy = 6.4 states/eV/cell
# E = -30.43 eV per cell
# excess energy over the best structure of this formula in the dataset = 2009 meV per atom
# ΔH_f (0 K) = 1935 meV/atom
data_ZrBeRu3
_chemical_formula_sum 'Zr1 Be1 Ru3'
_cell_length_a 4.775
_cell_length_b 4.775
_cell_length_c 4.775
_cell_angle_alpha 90.00
_cell_angle_beta 90.00
_cell_angle_gamma 90.00
_space_group_name_H-M_alt 'P m -3 m'
_space_group_IT_number 221
_space_group_name_Hall '-P 4 2 3'
loop_
_atom_site_label
_atom_site_fract_x
_atom_site_fract_y
_atom_site_fract_z
_atom_site_occupancy
Zr1 0.000 0.000 0.000 1
Be1 0.500 0.500 0.500 1
Ru1 0.000 0.000 0.500 1

No. 10
# Cs3Bi3Pb2, optimized geometry, DFT GGA-PBE
# DOS at the Fermi energy = 6.7 states/eV/cell
# E = -95.94 eV per cell
# ΔH_f (0 K) = -296 meV/atom
data_Cs3Bi3Pb2
_chemical_formula_sum 'Cs12 Bi12 Pb8'
_cell_length_a 5.996
_cell_length_b 13.523
_cell_length_c 17.792
_cell_angle_alpha 90.00
_cell_angle_beta 90.00
_cell_angle_gamma 90.00
_space_group_name_H-M_alt 'C m c m'
_space_group_IT_number 63
_space_group_name_Hall '-C 2c 2'
loop_
_atom_site_label
_atom_site_fract_x
_atom_site_fract_y
_atom_site_fract_z
_atom_site_occupancy
Cs1 0.000 0.081 0.121 1
Cs2 0.000 0.382 0.250 1
Bi1 0.000 0.309 0.750 1
Bi2 0.000 0.391 0.033 1
Pb1 0.000 0.211 0.586 1

No. 11
# LiCeTc2N4, optimized geometry, DFT GGA-PBE
# DOS at the Fermi energy = 9.7 states/eV/cell
# E = -132.49 eV per cell
# E_form (uncorrected) = -545.6 meV/atom
data_LiCeTc2N4
_chemical_formula_sum 'Li2 Ce2 Tc4 N8'
_cell_length_a 5.569
_cell_length_b 5.569
_cell_length_c 6.204
_cell_angle_alpha 90.00
_cell_angle_beta 90.00
_cell_angle_gamma 90.00
_space_group_name_H-M_alt 'I -4 2 m'
_space_group_IT_number 121
_space_group_name_Hall 'I -4 2'
loop_
_atom_site_label
_atom_site_fract_x
_atom_site_fract_y
_atom_site_fract_z
_atom_site_occupancy
Li1 0.000 0.000 0.000 1
Ce1 0.000 0.000 0.500 1
Tc1 0.000 0.500 0.250 1
N1 0.248 0.248 0.752 1

No. 12
# ThScTe, optimized geometry, DFT GGA-PBE
# DOS at the Fermi energy = 5.1 states/eV/cell
# E = -18.24 eV per cell
# excess energy over the best structure of this formula in the dataset = 262 meV per atom
# E_form (uncorrected) = -449.9 meV/atom
data_ThScTe
_chemical_formula_sum 'Th1 Sc1 Te1'
_cell_length_a 5.0229
_cell_length_b 5.0229
_cell_length_c 3.7774
_cell_angle_alpha 90.00
_cell_angle_beta 90.00
_cell_angle_gamma 120.00
_space_group_name_H-M_alt 'P -6 m 2'
_space_group_IT_number 187
_space_group_name_Hall 'P -6 2'
loop_
_atom_site_label
_atom_site_fract_x
_atom_site_fract_y
_atom_site_fract_z
_atom_site_occupancy
Th1 0.0000 0.0000 0.0000 1
Sc1 0.3333 0.6667 0.5000 1
Te1 0.6667 0.3333 0.5000 1

Q: Look up the DOS at the Fermi energy of the third one.
A: 0.7 states/eV/cell

Q: The highest E belongs to which entry?
A: TmHPb